[1]
Crystalline MnHgPb2 at its relaxed geometry, computed with PBE.

Output
Space-group type: Immm (71)

Cell: 7.4811 7.4811 7.4811 Å, 154.91 143.58 44.74°
Fractional positions:
Mn1 0.0000 0.0000 0.0000
Hg1 0.5000 0.5000 0.0000
Pb1 0.1828 0.6828 0.5000
Pb2 0.8172 0.3172 0.5000

[2]
Crystalline MnHg4Pb at its relaxed geometry, computed with PBE.

Output
Space-group type: F-43m (216)

Cell: 5.9899 5.9899 5.9899 Å, 60.00 60.00 60.00°
Fractional positions:
Mn1 0.0000 0.0000 0.0000
Hg1 0.3747 0.3747 0.3747
Hg2 0.3747 0.3747 0.8758
Hg3 0.3747 0.8758 0.3747
Hg4 0.8758 0.3747 0.3747
Pb1 0.7500 0.7500 0.7500

[3]
Crystalline Mn2HgPb at its relaxed geometry, computed with PBE.

Output
Space-group type: R3m (160)

Cell: 9.8983 9.8983 9.8983 Å, 18.37 18.37 18.37°
Fractional positions:
Mn1 0.0000 0.0000 0.0000
Mn2 0.2647 0.2647 0.2647
Hg1 0.7438 0.7438 0.7438
Pb1 0.5125 0.5125 0.5125

Number 1: E_form 1.03 eV/f.u., electronic total energy -0.1457 Ha/atom. Number 2: E_form 2.29 eV/f.u., electronic total energy -0.0722 Ha/atom. Number 3: E_form 1.88 eV/f.u., electronic total energy -0.1881 Ha/atom.